# 1
RbNaLaCo2 PBE-GGA relaxed; E_tot = -2.377 eV per atom; formation energy from the elements = 921 kJ/mol of formula units; theoretical density = 4.68 g cm⁻³
1.0
4.846 0.000 0.000
0.000 5.525 0.000
0.000 0.000 4.846
Rb Na Co La
1 1 2 1
Cartesian
0.000 0.000 0.000 Rb
2.423 2.762 2.423 Na
0.000 0.000 2.423 Co
2.423 0.000 0.000 Co
0.000 2.762 0.000 La

# 2
UCu4Au8 PBE-GGA relaxed; E_tot = -4.241 eV per atom; formation energy from the elements = -120 kJ/mol of formula units; theoretical density = 15.25 g cm⁻³
1.0
4.932 0.000 1.982
2.466 6.509 0.991
0.038 0.000 7.031
Au Cu U
8 4 1
Cartesian
4.115 2.192 4.016 Au
4.402 5.089 3.301 Au
5.500 5.089 7.695 Au
1.649 4.317 3.025 Au
3.034 1.421 6.704 Au
1.936 1.421 2.309 Au
3.322 4.317 5.988 Au
0.856 2.192 4.997 Au
0.019 0.000 3.516 Cu
3.699 3.255 1.487 Cu
1.233 3.255 0.496 Cu
2.485 0.000 4.507 Cu
0.000 0.000 0.000 U